Record 1
A relaxed TiHg2Br2 crystal. Source: Alexandria, functional GGA-PBE.

Summary:
energy relative to the elements, uncorrected: -0.14 eV/atom
V: 30.27 Å³ per atom
size of the total moment: 2.2 μB/cell
mass density: 6.680 Mg/m³
offset from the most stable computed form: 216 meV per atom

Cell: 3.877 3.877 10.433 Å, 79.29 79.29 90.00°
Last column: magnetic moment on the atom in μB.
Atoms (fractional coordinates):
Ti: 0.000 0.000 0.000  1.86
Br: 0.420 0.420 0.160  -0.03
Br: 0.580 0.580 0.840  -0.03
Hg: 0.250 0.750 0.500  0.00
Hg: 0.750 0.250 0.500  0.00



Record 2
A relaxed Mg4ZnIr crystal. Source: Alexandria, functional GGA-PBE.

Summary:
V: 19.59 Å³ per atom
size of the total moment: 0.0 μB/cell
mass density: 5.012 Mg/m³
offset from the most stable computed form: 0 meV per atom

Cell: 6.528 6.528 7.194 Å, 116.98 116.98 90.00°
Atoms (fractional coordinates):
Mg: 0.538 0.038 0.725
Mg: 0.687 0.538 0.725
Mg: 0.813 0.313 0.275
Mg: 0.038 0.187 0.725
Mg: 0.187 0.687 0.725
Mg: 0.313 0.462 0.275
Mg: 0.462 0.962 0.275
Mg: 0.962 0.813 0.275
Zn: 0.500 0.500 0.000
Zn: 0.000 0.000 0.000
Ir: 0.250 0.250 0.500
Ir: 0.750 0.750 0.500